Entry 1:
LaNd2Y2 | PBE-GGA | optimized geometry

Results
space-group type	No. 15
distance to the lowest polymorph of the same formula	0.000	eV/atom

Unit cell a=8.929 b=6.487 c=6.487 alpha=93.60 beta=102.93 gamma=102.93
Sites, in units of the cell vectors:
Nd1 0.000 0.500 0.500
Y1 0.633 0.057 0.253
Y2 0.867 0.747 0.943
Nd2 0.500 0.500 0.500
Y3 0.133 0.253 0.057
Y4 0.367 0.943 0.747
La1 0.250 0.802 0.198
Nd3 0.000 0.000 0.500
La2 0.750 0.198 0.802
Nd4 0.500 0.500 0.000

---

Entry 2:
La2Nd4Y5 | PBE-GGA | optimized geometry

Results
space-group type	No. 12
distance to the lowest polymorph of the same formula	0.000	eV/atom

Unit cell a=5.863 b=6.542 c=10.357 alpha=92.74 beta=106.44 gamma=90.00
Sites, in units of the cell vectors:
Nd1 0.030 0.265 0.060
Nd2 0.970 0.735 0.940
Y1 0.133 0.873 0.266
La1 0.403 0.459 0.807
Y2 0.787 0.606 0.574
La2 0.597 0.541 0.193
Y3 0.500 0.000 0.000
Y4 0.867 0.127 0.734
Nd3 0.305 0.926 0.609
Nd4 0.695 0.074 0.391
Y5 0.213 0.394 0.426

---

Entry 3:
La3Nd3Y | PBE-GGA | optimized geometry

Results
space-group type	No. 176
distance to the lowest polymorph of the same formula	0.000	eV/atom

Unit cell a=5.951 b=9.893 c=9.893 alpha=120.00 beta=90.00 gamma=90.00
Sites, in units of the cell vectors:
Nd1 0.750 0.616 0.095
La1 0.750 0.759 0.804
Nd2 0.750 0.905 0.521
Y1 0.750 0.333 0.667
Nd3 0.250 0.095 0.479
La2 0.250 0.955 0.759
La3 0.250 0.804 0.045
Y2 0.250 0.667 0.333
La4 0.750 0.045 0.241
La5 0.250 0.241 0.196
Nd4 0.750 0.479 0.384
La6 0.750 0.196 0.955
Nd5 0.250 0.521 0.616
Nd6 0.250 0.384 0.905

---

Entry 4:
LaNd4Y2 | PBE-GGA | optimized geometry

Results
space-group type	No. 9
distance to the lowest polymorph of the same formula	0.000	eV/atom

Unit cell a=12.716 b=12.716 c=6.904 alpha=97.03 beta=97.03 gamma=150.16
Sites, in units of the cell vectors:
Y1 0.926 0.109 0.058
Nd1 0.593 0.558 0.623
Nd2 0.720 0.186 0.877
Y2 0.109 0.926 0.558
Nd3 0.135 0.030 0.099
Nd4 0.787 0.182 0.402
Nd5 0.558 0.593 0.123
Y3 0.619 0.302 0.443
Y4 0.302 0.619 0.943
Nd6 0.030 0.135 0.599
Nd7 0.186 0.720 0.377
Nd8 0.182 0.787 0.902
La1 0.432 0.683 0.500
La2 0.683 0.432 0.000

---

Entry 5:
La3Nd8Y | PBE-GGA | optimized geometry

Results
space-group type	No. 71

Unit cell a=8.912 b=8.912 c=8.912 alpha=97.46 beta=135.98 gamma=98.69
Sites, in units of the cell vectors:
La1 0.500 0.245 0.745
La2 0.000 0.500 0.500
Nd1 0.167 0.415 0.248
Nd2 0.833 0.585 0.752
Nd3 0.501 0.758 0.743
Nd4 0.833 0.082 0.248
Nd5 0.015 0.758 0.257
Y1 0.000 0.000 0.000
Nd6 0.499 0.242 0.257
Nd7 0.167 0.918 0.752
La3 0.500 0.755 0.255
Nd8 0.985 0.242 0.743

---

Entry 6:
La3Nd4Y2 | PBE-GGA | optimized geometry

Results
space-group type	No. 156
distance to the lowest polymorph of the same formula	0.051	eV/atom

Unit cell a=3.663 b=3.663 c=27.516 alpha=90.00 beta=90.00 gamma=120.00
Sites, in units of the cell vectors:
Nd1 0.000 0.000 0.768
Y1 0.667 0.333 0.089
Nd2 0.667 0.333 0.212
Nd3 0.667 0.333 0.434
Nd4 0.000 0.000 0.542
La1 0.667 0.333 0.655
La2 0.000 0.000 0.320
Y2 0.667 0.333 0.872
La3 0.000 0.000 0.984

---

Entry 7:
La3Nd12Y | PBE-GGA | optimized geometry

Results
space-group type	No. 123

Unit cell a=5.216 b=5.216 c=20.830 alpha=90.00 beta=90.00 gamma=90.00
Sites, in units of the cell vectors:
La1 0.000 0.000 0.751
Nd1 0.500 0.000 0.123
Nd2 0.000 0.500 0.375
Nd3 0.000 0.500 0.877
Y1 0.000 0.000 0.000
Nd4 0.500 0.000 0.877
La2 0.000 0.000 0.500
Nd5 0.500 0.500 0.000
Nd6 0.500 0.000 0.625
Nd7 0.500 0.500 0.500
Nd8 0.500 0.000 0.375
Nd9 0.500 0.500 0.752
Nd10 0.500 0.500 0.248
Nd11 0.000 0.500 0.625
La3 0.000 0.000 0.249
Nd12 0.000 0.500 0.123

---

Entry 8:
La3NdY8 | PBE-GGA | optimized geometry

Results
space-group type	No. 8

Unit cell a=10.876 b=7.262 c=7.262 alpha=90.06 beta=120.08 gamma=120.08
Sites, in units of the cell vectors:
Y1 0.002 0.210 0.210
La1 0.667 0.208 0.709
Y2 0.334 0.209 0.209
Y3 0.330 0.207 0.705
Y4 0.330 0.705 0.207
Y5 0.004 0.212 0.711
Y6 0.332 0.707 0.707
Nd1 0.665 0.706 0.706
La2 0.999 0.707 0.707
La3 0.667 0.709 0.208
Y7 0.004 0.711 0.212
Y8 0.667 0.209 0.209

---

Quick rundown of raw total energy, same order as above: -52.5, -60.2, -70.7, -73.0, -56.2, -46.2, -78.3, -71.0 eV per cell